# 1
The following is a PBE calculation of a geometry-optimized AcRh5 structure, from Alexandria.

Cell: 4.945 9.082 4.938 Å, 90.00 109.30 90.00°
Space group C2/m (No. 12)
One atom of each set of equivalent atoms:
Ac 0.000 0.000 0.000 x2
Rh 0.000 0.203 0.500 x4
Rh 0.000 0.332 0.000 x4
Rh 0.000 0.500 0.500 x2

Results
VASP energy in eV per atom: -6.8413
Formation energy in eV/atom: -0.030
Spin magnetization in Bohr magnetons per cell: 0.00


# 2
The following is a PBE calculation of a geometry-optimized Ac16Ru5Rh3 structure, from Alexandria.

Cell: 14.855 8.584 13.823 Å, 90.00 90.12 90.00°
Space group Cm (No. 8)
One atom of each set of equivalent atoms:
Ac 0.000 0.000 0.000 x2
Ac 0.001 0.000 0.500 x2
Ac 0.010 0.500 0.513 x2
Ac 0.084 0.249 0.767 x4
Ac 0.163 0.500 0.273 x2
Ac 0.166 0.000 0.270 x2
Ac 0.242 0.266 0.514 x4
Ac 0.253 0.232 0.015 x4
Ac 0.329 0.000 0.772 x2
Ac 0.332 0.500 0.765 x2
Ac 0.418 0.249 0.267 x4
Ac 0.487 0.000 0.015 x2
Ru 0.082 0.250 0.386 x4
Ru 0.164 0.000 0.886 x2
Ru 0.167 0.500 0.660 x2
Ru 0.335 0.000 0.157 x2
Rh 0.333 0.500 0.386 x2
Rh 0.415 0.251 0.886 x4

Results
VASP energy in eV per atom: -5.9251
Formation energy in eV/atom: -0.335
Spin magnetization in Bohr magnetons per cell: 0.00


# 3
The following is a PBE calculation of a geometry-optimized Ac4RuRh structure, from Alexandria.

Cell: 8.741 16.538 7.339 Å, 90.00 126.53 90.00°
Space group C2/c (No. 15)
One atom of each set of equivalent atoms:
Ac 0.244 0.192 0.247 x8
Ac 0.248 0.053 0.746 x8
Ru 0.000 0.084 0.250 x4
Rh 0.000 0.420 0.750 x4

Results
VASP energy in eV per atom: -5.8722
Formation energy in eV/atom: -0.362
Spin magnetization in Bohr magnetons per cell: 0.00


Question: Look up the VASP energy of the second one.
Answer: -5.9251 eV per atom


Question: Look up the formation energy of the first one.
Answer: -0.030 eV/atom